Entry 1:
## Li2TaC2 (PBE)

Data for a geometry-optimized Li2TaC2 structure.

The structure in POSCAR format:
```
Li2TaC2
1.0
-1.804 1.804 3.468
1.804 -1.804 3.468
1.804 1.804 -3.468
Li Ta C
2 1 2
direct
0.143 0.143 0.000
0.857 0.857 0.000
0.500 0.500 0.000
0.250 0.750 0.500
0.750 0.250 0.500
```

## Properties
Space-group type = No. 139
Energy of formation = 0.894 eV/atom
Excess energy over the best structure of this formula in the dataset = 0.0 kJ/mol of formula units
Uncorrected energy = -5.931 eV/atom

***

Entry 2:
## PmUBiSb (PBE)

Data for a geometry-optimized PmUBiSb structure.

The structure in POSCAR format:
```
PmUBiSb
1.0
0.000 3.849 3.849
3.849 0.000 3.849
3.849 3.849 0.000
Pm U Bi Sb
1 1 1 1
direct
0.000 0.000 0.000
0.500 0.500 0.500
0.250 0.250 0.250
0.750 0.750 0.750
```

## Properties
Space-group type = No. 216
Uncorrected energy = -6.361 eV/atom
Uncorrected formation energy = -350.0 meV/atom

***

> Which of these has the highest uncorrected energy?

Li2TaC2

***

> Which value of uncorrected energy does entry 2 give?

-6.361 eV/atom

***

> Which of these has the lowest uncorrected energy?

PmUBiSb

***

> What is the uncorrected energy in the first record?

-5.931 eV/atom